Ac2PuMoO8 PBE+U relaxed; magnetization = 4.00 μB per formula unit; DOS(E_F) = 0.67 states/eV per atom; raw total energy = -0.6178 Ry/atom
1.0
4.491 -0.334 -0.002
-0.310 5.555 -0.006
0.004 0.008 7.392
O Ac Pu Mo
8 2 1 1
Cartesian
1.669 1.111 -0.002 O
0.129 4.339 1.951 O
4.056 0.891 5.433 O
2.579 4.235 3.690 O
2.516 4.118 7.386 O
0.131 4.343 5.432 O
4.054 0.886 1.952 O
1.606 0.994 3.694 O
2.093 2.617 5.472 Ac
2.092 2.613 1.912 Ac
0.000 0.000 0.000 Pu
0.002 0.004 3.696 Mo